No. 1
First-principles (PBE) data for crystalline Ga2PPd8 at its relaxed geometry, as listed in Alexandria.

Cell lengths 15.2819, 4.1621, 5.5042 Å; angles 90.00, 106.92, 90.00 degrees
Space group C2/m (No. 12)
Symmetry-distinct sites (fractional):
1 Ga 0.1824 0.0000 0.2220 x4
2 P 0.0000 0.5000 0.5000 x2
3 Pd 0.0215 0.0000 0.2717 x4
4 Pd 0.0982 0.5000 0.9270 x4
5 Pd 0.1492 0.5000 0.4603 x4
6 Pd 0.2121 0.0000 0.7994 x4

The calculation puts the total magnetization at 0.0 Bohr magnetons per cell.

No. 2
First-principles (PBE) data for crystalline Ga2PPd5 at its relaxed geometry, as listed in Alexandria.

Cell lengths 6.0426, 10.2153, 3.9298 Å; angles 90.00, 90.00, 90.00 degrees
Space group Pbam (No. 55)
Symmetry-distinct sites (fractional):
1 Ga 0.0865 0.1620 0.0000 x4
2 P 0.0000 0.5000 0.5000 x2
3 Pd 0.0000 0.0000 0.5000 x2
4 Pd 0.1376 0.7151 0.5000 x4
5 Pd 0.1784 0.4129 0.0000 x4

The calculation puts the total magnetization at 0.0 Bohr magnetons per cell. As for the energy above the lowest structure with this stoichiometry: 0 meV/atom.

No. 3
First-principles (PBE) data for crystalline Ga3PPd at its relaxed geometry, as listed in Alexandria.

Cell lengths 4.7942, 4.7942, 4.7942 Å; angles 90.00, 90.00, 90.00 degrees
Space group Pm-3m (No. 221)
Symmetry-distinct sites (fractional):
1 Ga 0.0000 0.0000 0.5000 x3
2 P 0.5000 0.5000 0.5000 x1
3 Pd 0.0000 0.0000 0.0000 x1

The calculation puts the total magnetization at 0.0 Bohr magnetons per cell. As for the energy above the lowest structure with this stoichiometry: 0 meV/atom.

No. 4
First-principles (PBE) data for crystalline GaPPd4 at its relaxed geometry, as listed in Alexandria.

Cell lengths 7.4338, 10.9008, 4.8317 Å; angles 90.00, 111.46, 90.00 degrees
Space group C2/c (No. 15)
Symmetry-distinct sites (fractional):
1 Ga 0.0000 0.1254 0.2500 x4
2 P 0.0000 0.4957 0.2500 x4
3 Pd 0.1160 0.3201 0.5717 x8
4 Pd 0.2010 0.0786 0.8356 x8

The calculation puts the total magnetization at 0.0 Bohr magnetons per cell. As for the energy above the lowest structure with this stoichiometry: 168 meV/atom.

no.,ΔH_f (0 K) (eV/atom)
1,-0.51
2,-0.54
3,0.22
4,-0.40